1.
{
  "formula": "Mn2ZnCl",
  "functional": "SCAN",
  "state": "PBEsol geometry",
  "lattice_angstrom": [[-0.290, 2.657, -1.034], [-1.300, -1.717, -4.046], [-4.370, 0.060, 1.379]],
  "species": ["Zn", "Mn", "Mn", "Cl"],
  "fractional_positions": [[0.500, 0.500, 0.500], [0.000, 0.000, 0.500], [0.000, 0.500, 0.000], [0.500, 0.000, 0.000]],
  "e_above_lowest_polymorph_mev_per_atom": 283
}

***

2.
{
  "formula": "MnZn2Cl",
  "functional": "SCAN",
  "state": "PBEsol geometry",
  "lattice_angstrom": [[4.712, 0.000, 0.000], [2.356, 4.080, 0.000], [2.356, 1.360, 3.847]],
  "species": ["Zn", "Zn", "Mn", "Cl"],
  "fractional_positions": [[0.250, 0.250, 0.250], [0.750, 0.750, 0.750], [0.500, 0.500, 0.500], [0.000, 0.000, 0.000]],
  "e_above_lowest_polymorph_mev_per_atom": 482
}

***

3.
{
  "formula": "MnZn2Cl",
  "functional": "SCAN",
  "state": "PBEsol geometry",
  "lattice_angstrom": [[3.837, 0.000, 0.000], [0.000, 3.837, 0.000], [-1.918, -1.918, 4.366]],
  "species": ["Zn", "Zn", "Mn", "Cl"],
  "fractional_positions": [[0.000, 0.000, 0.000], [0.750, 0.250, 0.500], [0.250, 0.750, 0.500], [0.500, 0.500, 0.000]],
  "e_above_lowest_polymorph_mev_per_atom": 168
}

***

4.
{
  "formula": "Mn2ZnCl",
  "functional": "SCAN",
  "state": "PBEsol geometry",
  "lattice_angstrom": [[3.004, 0.001, -0.001], [1.503, 2.601, -0.001], [1.500, 0.866, 7.716]],
  "species": ["Zn", "Mn", "Mn", "Cl"],
  "fractional_positions": [[0.500, 0.500, 0.500], [0.251, 0.251, 0.248], [0.749, 0.749, 0.752], [0.000, 0.000, 0.000]],
  "e_above_lowest_polymorph_mev_per_atom": 0
}

***

5.
{
  "formula": "MnZn2Cl",
  "functional": "SCAN",
  "state": "PBEsol geometry",
  "lattice_angstrom": [[-2.137, 1.842, 0.529], [-2.699, -3.164, 0.113], [3.199, 0.037, 5.004]],
  "species": ["Zn", "Zn", "Mn", "Cl"],
  "fractional_positions": [[0.781, 0.779, 0.561], [0.219, 0.221, 0.439], [0.500, 0.000, 0.000], [0.000, 0.500, 0.000]],
  "e_above_lowest_polymorph_mev_per_atom": 0
}

***

6.
{
  "formula": "Mn2ZnCl",
  "functional": "SCAN",
  "state": "PBEsol geometry",
  "lattice_angstrom": [[4.345, 0.000, 0.000], [2.173, 3.763, 0.000], [2.173, 1.254, 3.548]],
  "species": ["Zn", "Mn", "Mn", "Cl"],
  "fractional_positions": [[0.500, 0.500, 0.500], [0.250, 0.250, 0.250], [0.750, 0.750, 0.750], [0.000, 0.000, 0.000]],
  "e_above_lowest_polymorph_mev_per_atom": 497
}

***

7.
{
  "formula": "ZrMn2Cl",
  "functional": "SCAN",
  "state": "PBEsol geometry",
  "lattice_angstrom": [[-1.984, -0.615, -2.079], [0.623, -4.435, 0.717], [-2.630, 2.259, 3.920]],
  "species": ["Mn", "Mn", "Zr", "Cl"],
  "fractional_positions": [[0.237, 0.241, 0.474], [0.763, 0.759, 0.526], [0.000, 0.500, 0.000], [0.500, 0.000, 0.000]],
  "e_above_lowest_polymorph_mev_per_atom": 296
}

***

8.
{
  "formula": "ZrMnCl2",
  "functional": "SCAN",
  "state": "PBEsol geometry",
  "lattice_angstrom": [[4.215, 0.000, 0.000], [0.000, 4.215, 0.000], [-2.107, -2.107, 3.707]],
  "species": ["Mn", "Zr", "Cl", "Cl"],
  "fractional_positions": [[0.500, 0.500, 0.000], [0.000, 0.000, 0.000], [0.750, 0.250, 0.500], [0.250, 0.750, 0.500]],
  "e_above_lowest_polymorph_mev_per_atom": 702
}

***

Results for formation energy from raw total energies: 19, 399, 85, -264, -83, 233, -116, -450 (in meV/atom, following the order of the records).